Record 1
Material: La4TcAg
Method: DFT, PBE-GGA
State: optimized geometry

M_tot, μB/atom: 0.00
Crystal system: triclinic
Energy of formation from the pure elements, meV per atom: -138
ρ, g cm⁻³: 7.024
E_tot, eV/atom: -5.626
Offset from the most stable computed form, eV/atom: 0.0000

The structure in CIF format:
```
data_La4TcAg
_space_group_name_H-M_alt 'P -1'
_space_group_IT_number 2
_cell_length_a 6.406
_cell_length_b 7.977
_cell_length_c 8.002
_cell_angle_alpha 110.63
_cell_angle_beta 101.07
_cell_angle_gamma 101.16
loop_
_space_group_symop_operation_xyz
'x,y,z'
'-x,-y,-z'
loop_
_atom_site_label
_atom_site_type_symbol
_atom_site_fract_x
_atom_site_fract_y
_atom_site_fract_z
La1 La 0.052 0.434 0.275
La2 La 0.123 0.871 0.213
La3 La 0.378 0.288 0.630
La4 La 0.446 0.224 0.064
Tc1 Tc 0.250 0.502 0.998
Ag1 Ag 0.252 0.874 0.624
```

Record 2
Material: TaReTc2
Method: DFT, PBE-GGA
State: optimized geometry

M_tot, μB/atom: 0.00
Crystal system: orthorhombic
Energy of formation from the pure elements, meV per atom: -77
ρ, g cm⁻³: 15.015
E_tot, eV/atom: -11.335
Offset from the most stable computed form, eV/atom: 0.0000

The structure in CIF format:
```
data_TaReTc2
_space_group_name_H-M_alt 'I m m 2'
_space_group_IT_number 44
_cell_length_a 3.140
_cell_length_b 4.442
_cell_length_c 8.930
_cell_angle_alpha 90.00
_cell_angle_beta 90.00
_cell_angle_gamma 90.00
loop_
_space_group_symop_operation_xyz
'x,y,z'
'-x,-y,z'
'-x,y,z'
'x,-y,z'
'x+1/2,y+1/2,z+1/2'
'-x+1/2,-y+1/2,z+1/2'
'-x+1/2,y+1/2,z+1/2'
'x+1/2,-y+1/2,z+1/2'
loop_
_atom_site_label
_atom_site_type_symbol
_atom_site_fract_x
_atom_site_fract_y
_atom_site_fract_z
Ta1 Ta 0.000 0.000 0.000
Re1 Re 0.000 0.500 0.257
Tc1 Tc 0.000 0.000 0.504
Tc2 Tc 0.000 0.500 0.743
```

Record 3
Material: LuScCdCo
Method: DFT, PBE-GGA
State: optimized geometry

M_tot, μB/atom: 0.13
Crystal system: cubic
Energy of formation from the pure elements, meV per atom: -177
ρ, g cm⁻³: 8.167
E_tot, eV/atom: -4.895

The structure in CIF format:
```
data_LuScCdCo
_space_group_name_H-M_alt 'F -4 3 m'
_space_group_IT_number 216
_space_group_name_Hall 'F -4 2 3'
_cell_length_a 6.827
_cell_length_b 6.827
_cell_length_c 6.827
_cell_angle_alpha 90.00
_cell_angle_beta 90.00
_cell_angle_gamma 90.00
loop_
_atom_site_label
_atom_site_type_symbol
_atom_site_fract_x
_atom_site_fract_y
_atom_site_fract_z
Lu1 Lu 0.000 0.000 0.000
Sc1 Sc 0.000 0.000 0.500
Cd1 Cd 0.250 0.250 0.250
Co1 Co 0.250 0.250 0.750
```

Record 4
Material: Cs3HfCu
Method: DFT, PBE-GGA
State: optimized geometry

M_tot, μB/atom: 0.80
Crystal system: cubic
Energy of formation from the pure elements, meV per atom: 1194
ρ, g cm⁻³: 3.477
E_tot, eV/atom: -2.128
Offset from the most stable computed form, eV/atom: 0.0000

The structure in CIF format:
```
data_Cs3HfCu
_space_group_name_H-M_alt 'P m -3 m'
_space_group_IT_number 221
_space_group_name_Hall '-P 4 2 3'
_cell_length_a 6.739
_cell_length_b 6.739
_cell_length_c 6.739
_cell_angle_alpha 90.00
_cell_angle_beta 90.00
_cell_angle_gamma 90.00
loop_
_atom_site_label
_atom_site_type_symbol
_atom_site_fract_x
_atom_site_fract_y
_atom_site_fract_z
Cs1 Cs 0.000 0.000 0.500
Hf1 Hf 0.500 0.500 0.500
Cu1 Cu 0.000 0.000 0.000
```

Record 5
Material: HoReN3
Method: DFT, PBE-GGA
State: optimized geometry

M_tot, μB/atom: 0.00
Crystal system: monoclinic
ρ, g cm⁻³: 8.362
E_tot, eV/atom: -9.084
Uncorrected formation energy, eV per atom: -0.683

The structure in CIF format:
```
data_HoReN3
_space_group_name_H-M_alt 'C 1 2/c 1'
_space_group_IT_number 15
_cell_length_a 11.197
_cell_length_b 9.654
_cell_length_c 6.304
_cell_angle_alpha 90.00
_cell_angle_beta 113.56
_cell_angle_gamma 90.00
loop_
_space_group_symop_operation_xyz
'x,y,z'
'-x,-y,-z'
'-x,y,-z+1/2'
'x,-y,z+1/2'
'x+1/2,y+1/2,z'
'-x+1/2,-y+1/2,-z'
'-x+1/2,y+1/2,-z+1/2'
'x+1/2,-y+1/2,z+1/2'
loop_
_atom_site_label
_atom_site_type_symbol
_atom_site_fract_x
_atom_site_fract_y
_atom_site_fract_z
Ho1 Ho 0.000 0.094 0.250
Ho2 Ho 0.000 0.287 0.750
Re1 Re 0.209 0.414 0.215
N1 N 0.112 0.106 0.662
N2 N 0.121 0.252 0.159
N3 N 0.152 0.482 0.910
```

Record 6
Material: Dy4Cd9Pb11
Method: DFT, PBE-GGA
State: optimized geometry

M_tot, μB/atom: 0.00
Crystal system: orthorhombic
Energy of formation from the pure elements, meV per atom: -71
ρ, g cm⁻³: 9.595
E_tot, eV/atom: -2.881

The structure in CIF format:
```
data_Dy4Cd9Pb11
_space_group_name_H-M_alt 'C m m m'
_space_group_IT_number 65
_space_group_name_Hall '-C 2 2'
_cell_length_a 15.612
_cell_length_b 24.072
_cell_length_c 3.630
_cell_angle_alpha 90.00
_cell_angle_beta 90.00
_cell_angle_gamma 90.00
loop_
_atom_site_label
_atom_site_type_symbol
_atom_site_fract_x
_atom_site_fract_y
_atom_site_fract_z
Dy1 Dy 0.162 0.104 0.000
Cd1 Cd 0.000 0.000 0.000
Cd2 Cd 0.098 0.235 0.000
Cd3 Cd 0.136 0.429 0.000
Pb1 Pb 0.000 0.129 0.500
Pb2 Pb 0.000 0.342 0.500
Pb3 Pb 0.000 0.500 0.500
Pb4 Pb 0.198 0.000 0.500
Pb5 Pb 0.214 0.316 0.500
```

Record 7
Material: BaPPtCl2
Method: DFT, PBE-GGA
State: optimized geometry

M_tot, μB/atom: 0.00
Crystal system: tetragonal
ρ, g cm⁻³: 5.663
E_tot, eV/atom: -4.266
Offset from the most stable computed form, eV/atom: 0.0000
Uncorrected formation energy, eV per atom: -0.853

The structure in CIF format:
```
data_BaPPtCl2
_space_group_name_H-M_alt 'P 4/m m m'
_space_group_IT_number 123
_space_group_name_Hall '-P 4 2'
_cell_length_a 5.268
_cell_length_b 5.268
_cell_length_c 4.589
_cell_angle_alpha 90.00
_cell_angle_beta 90.00
_cell_angle_gamma 90.00
loop_
_atom_site_label
_atom_site_type_symbol
_atom_site_fract_x
_atom_site_fract_y
_atom_site_fract_z
Ba1 Ba 0.000 0.000 0.000
P1 P 0.500 0.500 0.000
Pt1 Pt 0.500 0.500 0.500
Cl1 Cl 0.000 0.500 0.500
```

Record 8
Material: LaSb4W
Method: DFT, PBE-GGA
State: optimized geometry

M_tot, μB/atom: 0.61
Crystal system: cubic
ρ, g cm⁻³: 8.045
E_tot, eV/atom: -5.084
Uncorrected formation energy, eV per atom: 0.644

The structure in CIF format:
```
data_LaSb4W
_space_group_name_H-M_alt 'F -4 3 m'
_space_group_IT_number 216
_space_group_name_Hall 'F -4 2 3'
_cell_length_a 8.744
_cell_length_b 8.744
_cell_length_c 8.744
_cell_angle_alpha 90.00
_cell_angle_beta 90.00
_cell_angle_gamma 90.00
loop_
_atom_site_label
_atom_site_type_symbol
_atom_site_fract_x
_atom_site_fract_y
_atom_site_fract_z
La1 La 0.000 0.000 0.000
Sb1 Sb 0.124 0.124 0.624
W1 W 0.250 0.250 0.250
```